i) Material: ScTl2As
Method: DFT, GGA-PBE
State: optimized geometry

Summary:
* total magnetic moment: 0.0864 μB/atom

Unit cell a=8.7343 b=8.7343 c=8.7343 alpha=24.53 beta=24.53 gamma=24.53
Closest atoms and distances in Å follow each position.
Sites, in units of the cell vectors:
Sc  0.7500  0.7500  0.7500  6 Tl 3.12
Tl  0.9941  0.9941  0.9941  3 As 2.91, 3 Sc 3.12
Tl  0.5059  0.5059  0.5059  3 As 2.91, 3 Sc 3.12
As  0.2500  0.2500  0.2500  6 Tl 2.91

***

ii) Material: ScTl2As
Method: DFT, GGA-PBE
State: optimized geometry

Summary:
* total magnetic moment: 0.0000 μB/atom

Unit cell a=8.5716 b=8.5716 c=8.5716 alpha=26.62 beta=26.62 gamma=26.62
Closest atoms and distances in Å follow each position.
Sites, in units of the cell vectors:
As  0.4868  0.4868  0.4868  3 Sc 2.63
Sc  0.7671  0.7671  0.7671  3 As 2.63
Tl  0.0095  0.0095  0.0095  3 Sc 3.21, 3 Tl 3.48
Tl  0.2366  0.2366  0.2366  3 As 3.07

***

iii) Material: ScTl2As
Method: DFT, GGA-PBE
State: optimized geometry

Summary:
* total magnetic moment: 0.0000 μB/atom

Unit cell a=5.1693 b=5.1693 c=5.1693 alpha=60.00 beta=60.00 gamma=60.00
Closest atoms and distances in Å follow each position.
Sites, in units of the cell vectors:
Tl  0.2500  0.2500  0.2500  4 Tl 3.17, 4 As 3.17
Sc  0.7500  0.7500  0.7500  4 Tl 3.17, 4 As 3.17
As  0.5000  0.5000  0.5000  4 Tl 3.17, 4 Sc 3.17
Tl  0.0000  0.0000  0.0000  4 Tl 3.17, 4 Sc 3.17

***

iv) Material: ScTl2As
Method: DFT, GGA-PBE
State: optimized geometry

Summary:
* total magnetic moment: 0.0000 μB/atom

Unit cell a=4.2469 b=4.2505 c=5.3597 alpha=90.00 beta=90.00 gamma=90.00
Closest atoms and distances in Å follow each position.
Sites, in units of the cell vectors:
As  0.5000  0.0000  0.5000  4 Sc 3.00
Sc  0.0000  0.5000  0.5000  4 As 3.00
Tl  0.5000  0.5000  0.0000  4 Tl 3.00
Tl  0.0000  0.0000  0.0000  4 Tl 3.00

***

What should be chosen as the most stable of them? Choose ii).

***

i) Material: ScTl2As
Method: DFT, GGA-PBE
State: optimized geometry

Summary:
* total magnetic moment: 0.0000 μB/atom

Unit cell a=5.1969 b=5.1969 c=5.1969 alpha=60.00 beta=60.00 gamma=60.00
Closest atoms and distances in Å follow each position.
Sites, in units of the cell vectors:
Tl  0.7500  0.7500  0.7500  4 As 3.18, 4 Sc 3.18
Sc  0.0000  0.0000  0.0000  8 Tl 3.18
Tl  0.2500  0.2500  0.2500  4 As 3.18, 4 Sc 3.18
As  0.5000  0.5000  0.5000  8 Tl 3.18

***

ii) Material: ScTl2As
Method: DFT, GGA-PBE
State: optimized geometry

Summary:
* total magnetic moment: 0.0000 μB/atom

Unit cell a=3.3077 b=3.3077 c=9.6410 alpha=90.00 beta=90.00 gamma=110.85
Closest atoms and distances in Å follow each position.
Sites, in units of the cell vectors:
Tl  0.0000  0.0000  0.4963  2 As 3.03, 2 Sc 3.08, 4 Tl 3.31
As  0.5000  0.5000  0.2500  4 Tl 3.03, 4 As 3.31
Tl  0.0000  0.0000  0.0037  2 As 3.03, 2 Sc 3.08, 4 Tl 3.31
Sc  0.5000  0.5000  0.7500  4 Tl 3.08, 4 Sc 3.31

***

What should be chosen as the most stable of them? Choose i).

***

i) Material: ScTl2As
Method: DFT, GGA-PBE
State: optimized geometry

Summary:
* total magnetic moment: 0.0000 μB/atom

Unit cell a=3.7642 b=3.7510 c=8.3361 alpha=63.06 beta=90.00 gamma=90.00
Closest atoms and distances in Å follow each position.
Sites, in units of the cell vectors:
Tl  0.0000  0.0151  0.9855  1 As 2.90
Sc  0.5000  0.8287  0.6707  4 As 2.72
As  0.0000  0.4044  0.5955  4 Sc 2.72, 1 Tl 2.90
Tl  0.5000  0.2519  0.2483  1 Sc 3.14, 4 Tl 3.29-3.30

***

ii) Material: ScTl2As
Method: DFT, GGA-PBE
State: optimized geometry

Summary:
* total magnetic moment: 0.0000 μB/atom

Unit cell a=4.0604 b=4.0604 c=5.8934 alpha=90.00 beta=90.00 gamma=90.00
Closest atoms and distances in Å follow each position.
Sites, in units of the cell vectors:
Sc  0.5000  0.5000  0.7500  2 As 2.95, 8 Tl 3.23
Tl  0.0000  0.0000  0.0026  2 Tl 2.92-2.98, 4 As 3.22, 4 Sc 3.23
Tl  0.0000  0.0000  0.4974  2 Tl 2.92-2.98, 4 As 3.22, 4 Sc 3.23
As  0.5000  0.5000  0.2500  2 Sc 2.95, 8 Tl 3.22

***

What should be chosen as the most stable of them? Choose i).

***

i) Material: TmSc2As
Method: DFT, GGA-PBE
State: optimized geometry

Summary:
* total magnetic moment: 0.0000 μB/atom

Unit cell a=3.8680 b=5.9065 c=8.5212 alpha=90.00 beta=90.00 gamma=109.12
Closest atoms and distances in Å follow each position.
Sites, in units of the cell vectors:
Sc  0.1425  0.2851  0.0524  3 As 2.78-2.90
Sc  0.8575  0.7149  0.9476  3 As 2.78-2.90
As  0.2618  0.5234  0.7500  6 Sc 2.78-2.90, 2 Tm 2.96
Tm  0.4394  0.8789  0.2500  2 As 2.96
Tm  0.5606  0.1211  0.7500  2 As 2.96
As  0.7382  0.4766  0.2500  6 Sc 2.78-2.90, 2 Tm 2.96
Sc  0.8575  0.7149  0.5524  3 As 2.78-2.90
Sc  0.1425  0.2851  0.4476  3 As 2.78-2.90

***

ii) Material: TmSc2As
Method: DFT, GGA-PBE
State: optimized geometry

Summary:
* total magnetic moment: 0.2024 μB/atom

Unit cell a=3.6557 b=3.6557 c=9.1074 alpha=78.42 beta=78.42 gamma=60.00
Closest atoms and distances in Å follow each position.
Sites, in units of the cell vectors:
As  0.0000  0.0000  0.0000  6 Sc 2.65
Sc  0.2728  0.2728  0.1816  3 As 2.65
Sc  0.7272  0.7272  0.8184  3 As 2.65
Tm  0.5000  0.5000  0.5000  6 Sc 3.52, 6 Tm 3.66

***

What should be chosen as the most stable of them? Choose i).

***

i) Material: TmSc3As3
Method: DFT, GGA-PBE
State: optimized geometry

Summary:
* total magnetic moment: 0.0000 μB/atom

Unit cell a=8.1140 b=8.1140 c=7.2208 alpha=55.82 beta=55.82 gamma=60.00
Closest atoms and distances in Å follow each position.
Sites, in units of the cell vectors:
Sc  0.0909  0.3522  0.7378  5 As 2.71-2.92
As  0.9230  0.2917  0.2442  5 Sc 2.71-2.92, 2 Tm 2.86-2.91
Tm  0.6666  0.6666  0.0003  6 As 2.86-2.91
Tm  0.3334  0.3334  0.9997  6 As 2.86-2.91
Sc  0.1809  0.9091  0.2622  5 As 2.71-2.92
Sc  0.6478  0.1809  0.2622  5 As 2.71-2.92
As  0.0770  0.7083  0.7558  5 Sc 2.71-2.92, 2 Tm 2.86-2.91
Sc  0.8191  0.0909  0.7378  5 As 2.71-2.92
Sc  0.9091  0.6478  0.2622  5 As 2.71-2.92
As  0.7083  0.4588  0.7558  5 Sc 2.71-2.92, 2 Tm 2.86-2.91
As  0.5412  0.9230  0.2442  5 Sc 2.71-2.92, 2 Tm 2.86-2.91
Sc  0.3522  0.8191  0.7378  5 As 2.71-2.92
As  0.2917  0.5412  0.2442  5 Sc 2.71-2.92, 2 Tm 2.86-2.91
As  0.4588  0.0770  0.7558  5 Sc 2.71-2.92, 2 Tm 2.86-2.91

***

ii) Material: TmSc3As3
Method: DFT, GGA-PBE
State: optimized geometry

Summary:
* total magnetic moment: 0.0000 μB/atom

Unit cell a=8.2904 b=8.2904 c=8.2904 alpha=90.00 beta=90.00 gamma=90.00
Closest atoms and distances in Å follow each position.
Sites, in units of the cell vectors:
Sc  0.9292  0.9292  0.9292  6 As 2.71-3.03
Sc  0.5708  0.0708  0.4292  6 As 2.71-3.03
As  0.7557  0.3772  0.5021  6 Sc 2.71-3.03, 2 Tm 2.78-3.00
As  0.2443  0.8772  0.9979  6 Sc 2.71-3.03, 2 Tm 2.78-3.00
Sc  0.8208  0.6792  0.3208  6 As 2.76-2.97
As  0.3772  0.5021  0.7557  6 Sc 2.71-3.03, 2 Tm 2.78-3.00
As  0.9979  0.2443  0.8772  6 Sc 2.71-3.03, 2 Tm 2.78-3.00
Sc  0.0708  0.4292  0.5708  6 As 2.71-3.03
Sc  0.1829  0.8171  0.3171  6 As 2.74-3.01
Sc  0.6829  0.6829  0.6829  6 As 2.74-3.01
As  0.8772  0.9979  0.2443  6 Sc 2.71-3.03, 2 Tm 2.78-3.00
As  0.6228  0.0021  0.7443  6 Sc 2.71-3.03, 2 Tm 2.78-3.00
Sc  0.3171  0.1829  0.8171  6 As 2.74-3.01
As  0.0021  0.7443  0.6228  6 Sc 2.71-3.03, 2 Tm 2.78-3.00
Sc  0.4292  0.5708  0.0708  6 As 2.71-3.03
Sc  0.8171  0.3171  0.1829  6 As 2.74-3.01
As  0.1228  0.4979  0.2557  6 Sc 2.71-3.03, 2 Tm 2.78-3.00
As  0.4979  0.2557  0.1228  6 Sc 2.71-3.03, 2 Tm 2.78-3.00
Sc  0.6792  0.3208  0.8208  6 As 2.76-2.97
As  0.5021  0.7557  0.3772  6 Sc 2.71-3.03, 2 Tm 2.78-3.00
Sc  0.3208  0.8208  0.6792  6 As 2.76-2.97
Tm  0.4321  0.4321  0.4321  6 As 2.78-3.00
Tm  0.5679  0.9321  0.0679  6 As 2.78-3.00
As  0.7443  0.6228  0.0021  6 Sc 2.71-3.03, 2 Tm 2.78-3.00
Tm  0.9321  0.0679  0.5679  6 As 2.78-3.00
Tm  0.0679  0.5679  0.9321  6 As 2.78-3.00
Sc  0.1792  0.1792  0.1792  6 As 2.76-2.97
As  0.2557  0.1228  0.4979  6 Sc 2.71-3.03, 2 Tm 2.78-3.00

***

What should be chosen as the most stable of them? Choose ii).